Entry 1:
Entry from Alexandria: an optimized crystal structure of Ho5Er5In (GGA-PBE).

extended XYZ file:
```
11
Lattice="6.0116 0.0000 0.0000 -3.0058 5.2062 0.0000 0.0000 0.0000 11.1336" Properties=species:S:1:pos:R:3 pbc="T T T"
Ho 0.0000 3.4708 3.3178
Ho 0.0000 3.4708 7.8158
Ho 3.0058 1.7354 1.9636
Ho 3.0058 1.7354 9.1700
Ho 0.0000 0.0000 0.0000
In 0.0000 3.4708 0.0000
Er 0.0000 0.0000 2.9627
Er 0.0000 0.0000 8.1709
Er 3.0058 3.4499 5.5668
Er 1.5210 0.8782 5.5668
Er 4.4906 0.8782 5.5668
```

Space-group type   P-6m2 (187)
Crystal system   hexagonal
ΔH_f (0 K)   0.3137 eV/atom
Volume   31.68 A^3/atom

=====

Entry 2:
Entry from Alexandria: an optimized crystal structure of Ba3Cd3Pb (GGA-PBE).

extended XYZ file:
```
14
Lattice="-3.9598 0.9790 -3.0911 -0.6502 -4.6356 -4.8721 -11.9351 -8.9786 8.2086" Properties=species:S:1:pos:R:3 pbc="T T T"
Cd -9.4606 -7.5619 5.4874
Cd -11.9897 -12.2312 3.0115
Cd -6.2307 -5.3200 2.0598
Cd -4.5554 -0.4041 -2.7661
Cd -10.3144 -7.3153 -1.8145
Cd -7.0846 -5.0734 -5.2420
Ba -3.9745 -3.1462 -0.1419
Ba -12.5706 -9.4891 0.3873
Ba -9.6153 -6.3415 1.8352
Ba -12.7460 -9.2009 4.9401
Ba -3.7991 -3.4344 -4.6947
Ba -6.9298 -6.2938 -1.5898
Pb -7.7113 -3.2268 0.3826
Pb -8.8338 -9.4085 -0.1373
```

Space-group type   C2/m (12)
Crystal system   monoclinic
ΔH_f (0 K)   -0.3614 eV/atom
Volume   38.50 A^3/atom